Compound: KNaTlAg
Source: Alexandria
Functional: PBE
Structure: relaxed

Summary:
**Energy above the lowest structure with this stoichiometry**: 0.0 kJ/mol of atoms

a = 5.0868 Å, b = 5.0868 Å, c = 6.7578 Å
α = 89.88°, β = 112.21°, γ = 120.04°
With the nearest neighbours (Å) after each atom.
Fractional positions:
1 K 0.4018 0.0652 0.4671  4 Na 3.67-3.80, 4 Ag 3.68-3.79, 3 Tl 3.71-3.72
2 Na 0.9992 0.8644 0.8636  3 Ag 3.20, 3 Tl 3.25
3 Tl 0.4858 0.6074 0.0933  3 Ag 2.94, 3 Na 3.25
4 Ag 0.8052 0.2673 0.0726  3 Tl 2.94, 3 Na 3.20